a:
## AcLa3Ho (PBE-GGA)

Data for crystalline AcLa3Ho at its relaxed geometry.

a b c (Å): 5.625 5.625 13.435
angles (deg): 90.00 90.00 113.38
Atoms (fractional coordinates):
Ac 0.000 0.000 0.000
Ac 0.000 0.000 0.500
La 0.063 0.937 0.750
La 0.378 0.622 0.620
La 0.378 0.622 0.880
La 0.622 0.378 0.120
La 0.622 0.378 0.380
La 0.937 0.063 0.250
Ho 0.279 0.721 0.250
Ho 0.721 0.279 0.750

Values from the calculation:
Symmetry ... Cmcm (63)

***

b:
## AcLa3Ho (PBE-GGA)

Data for crystalline AcLa3Ho at its relaxed geometry.

a b c (Å): 9.280 3.693 11.419
angles (deg): 90.00 107.86 90.00
Atoms (fractional coordinates):
Ac 0.210 0.000 0.054
Ac 0.790 0.000 0.946
La 0.000 0.500 0.270
La 0.000 0.500 0.730
La 0.392 0.500 0.845
La 0.403 0.500 0.353
La 0.597 0.500 0.647
La 0.608 0.500 0.155
Ho 0.213 0.000 0.552
Ho 0.787 0.000 0.448

Values from the calculation:
Symmetry ... P2/m (10)

***

It is b that is most stable; the runner-up trails by 17.8 kJ/mol of atoms.

***

a:
## AcLaHoMg (PBE-GGA)

Data for crystalline AcLaHoMg at its relaxed geometry.

a b c (Å): 5.789 5.789 5.789
angles (deg): 60.00 60.00 60.00
Atoms (fractional coordinates):
Ac 0.000 0.000 0.000
La 0.750 0.750 0.750
Ho 0.250 0.250 0.250
Mg 0.500 0.500 0.500

Values from the calculation:
Symmetry ... F-43m (216)

***

b:
## AcLaHoMg (PBE-GGA)

Data for crystalline AcLaHoMg at its relaxed geometry.

a b c (Å): 3.847 3.847 9.180
angles (deg): 90.00 90.00 90.00
Atoms (fractional coordinates):
Ac 0.000 0.000 0.000
La 0.500 0.500 0.704
Ho 0.500 0.500 0.277
Mg 0.000 0.000 0.474

Values from the calculation:
Symmetry ... P4mm (99)

***

It is b that is most stable; the runner-up trails by 13.1 kJ/mol of atoms.

***

a:
## AcLaNdHo (PBE-GGA)

Data for crystalline AcLaNdHo at its relaxed geometry.

a b c (Å): 3.768 3.768 12.066
angles (deg): 90.00 90.00 120.00
Atoms (fractional coordinates):
Ac 0.000 0.000 0.000
La 0.667 0.333 0.510
Nd 0.333 0.667 0.260
Ho 0.333 0.667 0.750

Values from the calculation:
Symmetry ... P3m1 (156)

***

b:
## AcLaNdHo (PBE-GGA)

Data for crystalline AcLaNdHo at its relaxed geometry.

a b c (Å): 5.961 5.961 5.961
angles (deg): 60.00 60.00 60.00
Atoms (fractional coordinates):
Ac 0.000 0.000 0.000
La 0.750 0.750 0.750
Nd 0.250 0.250 0.250
Ho 0.500 0.500 0.500

Values from the calculation:
Symmetry ... F-43m (216)

***

It is a that is most stable; the runner-up trails by 10.5 kJ/mol of atoms.

***

a:
## AcLaPmHo (PBE-GGA)

Data for crystalline AcLaPmHo at its relaxed geometry.

a b c (Å): 3.761 3.761 12.038
angles (deg): 90.00 90.00 120.00
Atoms (fractional coordinates):
Ac 0.000 0.000 0.000
La 0.667 0.333 0.507
Pm 0.333 0.667 0.258
Ho 0.333 0.667 0.749

Values from the calculation:
Symmetry ... P3m1 (156)

***

b:
## AcLaPmHo (PBE-GGA)

Data for crystalline AcLaPmHo at its relaxed geometry.

a b c (Å): 5.936 5.936 5.936
angles (deg): 60.00 60.00 60.00
Atoms (fractional coordinates):
Ac 0.000 0.000 0.000
La 0.500 0.500 0.500
Pm 0.750 0.750 0.750
Ho 0.250 0.250 0.250

Values from the calculation:
Symmetry ... F-43m (216)

***

It is a that is most stable; the runner-up trails by 4.8 kJ/mol of atoms.

***

a:
## AcLaSmHo (PBE-GGA)

Data for crystalline AcLaSmHo at its relaxed geometry.

a b c (Å): 5.927 5.927 5.927
angles (deg): 60.00 60.00 60.00
Atoms (fractional coordinates):
Ac 0.000 0.000 0.000
La 0.500 0.500 0.500
Sm 0.250 0.250 0.250
Ho 0.750 0.750 0.750

Values from the calculation:
Symmetry ... F-43m (216)

***

b:
## AcLaSmHo (PBE-GGA)

Data for crystalline AcLaSmHo at its relaxed geometry.

a b c (Å): 5.942 5.942 5.942
angles (deg): 60.00 60.00 60.00
Atoms (fractional coordinates):
Ac 0.000 0.000 0.000
La 0.250 0.250 0.250
Sm 0.750 0.750 0.750
Ho 0.500 0.500 0.500

Values from the calculation:
Symmetry ... F-43m (216)

***

It is a that is most stable; the runner-up trails by 6.3 kJ/mol of atoms.

***

a:
## AcLaHoZn (PBE-GGA)

Data for crystalline AcLaHoZn at its relaxed geometry.

a b c (Å): 5.626 5.626 5.626
angles (deg): 60.00 60.00 60.00
Atoms (fractional coordinates):
Ac 0.000 0.000 0.000
La 0.250 0.250 0.250
Ho 0.750 0.750 0.750
Zn 0.500 0.500 0.500

Values from the calculation:
Symmetry ... F-43m (216)

***

b:
## AcLaHoZn (PBE-GGA)

Data for crystalline AcLaHoZn at its relaxed geometry.

a b c (Å): 3.731 3.731 9.067
angles (deg): 90.00 90.00 90.00
Atoms (fractional coordinates):
Ac 0.000 0.000 0.000
La 0.500 0.500 0.685
Ho 0.500 0.500 0.294
Zn 0.000 0.000 0.466

Values from the calculation:
Symmetry ... P4mm (99)

***

It is b that is most stable; the runner-up trails by 27.4 kJ/mol of atoms.